First-principles (PBE-GGA) data for a geometry-optimized Dy5Sb4C structure, as listed in Alexandria via LeMat-Bulk.

```
10
Lattice="6.129 0.000 0.000 3.065 6.650 0.000 3.065 0.000 6.650" Properties=species:S:1:pos:R:3 pbc="T T T"
Dy 9.201 2.307 5.597
Dy 6.136 5.597 4.343
Dy 6.136 1.053 2.307
Dy 3.072 4.343 1.053
Dy 2.699 0.000 0.000
Sb 6.155 2.624 5.135
Sb 9.220 5.135 4.026
Sb 3.091 1.514 2.624
Sb 6.155 4.026 1.514
C 0.298 0.000 0.000
```

Results
E_form (uncorrected) = -824 meV per atom
Electronic total energy = -56.96 eV for the cell shown
Space-group type = I4 (79)